The following is a DFT calculation (PBE-GGA) of a geometry-optimized Ti6PdC structure.

Values from the calculation:
* ΔE_f: -0.298 eV per atom
* spin magnetization: 0.000 μB/atom
* total energy: -64.17 eV/cell
* calculated volume: 125.1 Å³/f.u.
* DOS at the Fermi energy: 8.5 states/eV per cell

Cell: 4.780 5.381 5.289 Å, 83.32 92.79 68.52°
Fractional positions:
Ti: 0.056 0.339 0.797
Ti: 0.782 0.954 0.667
Ti: 0.600 0.245 0.113
Ti: 0.218 0.046 0.333
Ti: 0.944 0.661 0.203
Ti: 0.400 0.755 0.887
Pd: 0.500 0.500 0.500
C: 0.000 0.000 0.000